A relaxed structure of Rb2PS3, computed with GGA-PBEsol.

DFT total energy   -4.46 eV per atom
Calculated volume   29.82 Å³/atom
Size of the total moment   0.0 μB/cell

Cell: 13.550 12.209 8.662 Å, 90.00 92.62 90.00°
Positions (direct):
Rb  0.067  0.188  0.375
Rb  0.067  0.312  0.875
Rb  0.210  0.625  0.771
Rb  0.210  0.875  0.271
Rb  0.323  0.563  0.337
Rb  0.323  0.937  0.837
Rb  0.407  0.228  0.208
Rb  0.407  0.272  0.708
Rb  0.593  0.728  0.292
Rb  0.593  0.772  0.792
Rb  0.677  0.063  0.163
Rb  0.677  0.437  0.663
Rb  0.790  0.125  0.729
Rb  0.790  0.375  0.229
Rb  0.933  0.688  0.125
Rb  0.933  0.812  0.625
P  0.068  0.502  0.428
P  0.068  0.998  0.928
P  0.430  0.534  0.939
P  0.430  0.966  0.439
P  0.570  0.034  0.561
P  0.570  0.466  0.061
P  0.932  0.002  0.072
P  0.932  0.498  0.572
S  0.029  0.058  0.717
S  0.029  0.442  0.217
S  0.104  0.664  0.423
S  0.104  0.836  0.923
S  0.172  0.091  0.043
S  0.172  0.409  0.543
S  0.319  0.069  0.491
S  0.319  0.431  0.991
S  0.411  0.687  0.026
S  0.411  0.813  0.526
S  0.455  0.540  0.709
S  0.455  0.960  0.209
S  0.545  0.040  0.791
S  0.545  0.460  0.291
S  0.589  0.187  0.474
S  0.589  0.313  0.974
S  0.681  0.569  0.009
S  0.681  0.931  0.509
S  0.828  0.591  0.457
S  0.828  0.909  0.957
S  0.896  0.164  0.077
S  0.896  0.336  0.577
S  0.971  0.558  0.783
S  0.971  0.942  0.283